No. 1
## Ac3ZnSn6Pt2 (PBE)

Data for an optimized crystal structure of Ac3ZnSn6Pt2.

a b c (Å): 6.8426 6.8426 8.5752
angles (deg): 90.00 90.00 120.00
Last column: nearest neighbours and their distance in Å.
Fractional positions:
Pt: 0.3333 0.6667 0.0377  3 Sn 2.82, 1 Ac 3.07
Sn: 0.6265 0.8133 0.2966  1 Zn 2.82, 1 Pt 2.82, 2 Sn 3.01
Sn: 0.3735 0.1867 0.7034  1 Zn 2.82, 1 Pt 2.82, 2 Sn 3.01
Ac: 0.3333 0.6667 0.6794  1 Pt 3.07, 6 Sn 3.44
Sn: 0.8133 0.1867 0.7034  1 Zn 2.82, 1 Pt 2.82, 2 Sn 3.01
Zn: 0.0000 0.0000 0.5000  6 Sn 2.82
Sn: 0.8133 0.6265 0.7034  1 Zn 2.82, 1 Pt 2.82, 2 Sn 3.01
Ac: 0.6667 0.3333 0.3206  1 Pt 3.07, 6 Sn 3.44
Pt: 0.6667 0.3333 0.9623  3 Sn 2.82, 1 Ac 3.07
Sn: 0.1867 0.3735 0.2966  1 Zn 2.82, 1 Pt 2.82, 2 Sn 3.01
Sn: 0.1867 0.8133 0.2966  1 Zn 2.82, 1 Pt 2.82, 2 Sn 3.01
Ac: 0.0000 0.0000 0.0000  6 Sn 3.37

Computed properties:
density = 8.83 Mg/m³
V = 29.0 Å³ per atom
density of states at the Fermi level = 6.8 states/eV/f.u.
energy = -4.4302 eV/atom
formation enthalpy at 0 K = -0.29 eV per atom


No. 2
## Y6AuS5 (PBE)

Data for an optimized crystal structure of Y6AuS5.

a b c (Å): 6.8808 6.8808 6.8639
angles (deg): 99.62 99.62 120.07
Last column: nearest neighbours and their distance in Å.
Fractional positions:
Y: 0.4265 0.0834 0.2537  5 S 2.74-2.82, 1 Au 2.87
Au: 0.0000 0.0000 0.0000  6 Y 2.87
S: 0.6657 0.3343 0.0000  6 Y 2.79-2.80
Y: 0.2569 0.2569 0.7453  5 S 2.74-2.81, 1 Au 2.87
Y: 0.7431 0.7431 0.2547  5 S 2.74-2.81, 1 Au 2.87
Y: 0.9166 0.5735 0.7463  5 S 2.74-2.82, 1 Au 2.87
S: 0.3343 0.6657 0.0000  6 Y 2.79-2.80
S: 0.8339 0.1661 0.5000  6 Y 2.74-2.81
S: 0.1661 0.8339 0.5000  6 Y 2.74-2.81
Y: 0.0834 0.4265 0.2537  5 S 2.74-2.82, 1 Au 2.87
S: 0.5000 0.5000 0.5000  6 Y 2.74-2.82
Y: 0.5735 0.9166 0.7463  5 S 2.74-2.82, 1 Au 2.87

Computed properties:
density = 5.58 Mg/m³
V = 22.1 Å³ per atom
density of states at the Fermi level = 4.8 states/eV/f.u.
energy = -7.0289 eV/atom


No. 3
## CaYRh2O (PBE)

Data for an optimized crystal structure of CaYRh2O.

a b c (Å): 4.4897 6.3148 4.4897
angles (deg): 90.00 90.00 90.00
Last column: nearest neighbours and their distance in Å.
Fractional positions:
Rh: 0.5000 0.0000 0.0000  2 Ca 2.24
O: 0.5000 0.5000 0.5000  4 Y 3.17
Ca: 0.0000 0.0000 0.0000  4 Rh 2.24
Y: 0.0000 0.5000 0.0000  2 Ca 3.16, 4 O 3.17
Rh: 0.0000 0.0000 0.5000  2 Ca 2.24

Computed properties:
density = 4.58 Mg/m³
V = 25.5 Å³ per atom
density of states at the Fermi level = 6.3 states/eV/f.u.
energy = -4.4041 eV/atom